# 1
DFT (PBE) results for a geometry-optimized Zr3Cu5Te12 structure.

It has space group Ia-3d (No. 230), with a = 16.279 Å, b = 16.279 Å, c = 16.279 Å, α = 90.00°, β = 90.00° and γ = 90.00°. Symmetry generates all atoms from Zr at (0.000, 0.250, 0.125), Cu at (0.000, 0.000, 0.000), Cu at (0.000, 0.250, 0.375) and Te at (0.024, 0.065, 0.652).

The total energy comes out at -4.469 eV per atom. The calculation puts the magnetization at 0.0 μB per formula unit. The mass density is 6.54 g cm⁻³.

# 2
DFT (PBE) results for a geometry-optimized ZrCuTe structure.

It has space group F-43m (No. 216), with a = 6.632 Å, b = 6.632 Å, c = 6.632 Å, α = 90.00°, β = 90.00° and γ = 90.00°. Symmetry generates all atoms from Zr at (0.000, 0.000, 0.000), Cu at (0.250, 0.250, 0.250) and Te at (0.250, 0.250, 0.750).

The total energy comes out at -5.250 eV per atom. The calculation puts the magnetization at 0.0 μB per formula unit. The mass density is 6.43 g cm⁻³.

# 3
DFT (PBE) results for a geometry-optimized ZrCuTe structure.

It has space group I4mm (No. 107), with a = 3.569 Å, b = 3.569 Å, c = 9.419 Å, α = 90.00°, β = 90.00° and γ = 90.00°. Symmetry generates all atoms from Zr at (0.000, 0.000, 0.000), Cu at (0.000, 0.000, 0.338) and Te at (0.000, 0.000, 0.679).

The total energy comes out at -5.511 eV per atom. The calculation puts the magnetization at 0.0 μB per formula unit. The mass density is 7.81 g cm⁻³.